ScTa2NbC4 | Alexandria | PBE | optimized geometry; space group = No. 10; crystal system = monoclinic; magnetic moment = 0.00 μB/f.u.; formation enthalpy at 0 K = -0.6382 eV/atom
1.0
3.1791 0.0000 0.0000
0.0000 5.5342 0.1114
0.0000 -1.9213 5.1903
Sc Ta Nb C
1 2 1 4
Cartesian
1.5895 2.7671 0.0557
1.5895 -0.9606 2.5952
0.0000 1.8065 2.6509
0.0000 0.0000 0.0000
1.5895 0.8935 1.3586
1.5895 2.7194 3.9431
0.0000 -0.0768 3.8671
0.0000 3.6897 1.4346